No. 1
This record from Alexandria via LeMat-Bulk describes an optimized crystal structure of Na2Sr6HgN. The functional is PBE-GGA.

SG: No. 8
DOS(E_F), states/eV per cell: 7.35
Crystal system: monoclinic

abc: 8.3370 8.3370 8.3290
angles: 120.02 120.02 89.97
Last column: nearest neighbours and their distance in Å.
Fractional coordinates of all 10 atoms:
Na 0.7502 0.2509 0.5003  12 Sr 4.17-4.18
Na 0.2504 0.7507 0.5003  12 Sr 4.17-4.18
Sr 0.7719 0.7728 0.9989  1 N 2.68
Sr 0.7732 0.7736 0.5455  1 N 2.67
Sr 0.7728 0.2278 0.9997  1 N 2.68
Sr 0.2270 0.7729 0.9998  1 N 2.68
Sr 0.2278 0.2279 0.0006  1 N 2.68
Sr 0.2264 0.2269 0.4538  1 N 2.67
Hg 0.4997 0.5002 0.9995  6 Sr 3.21-3.22
N 0.9998 0.0002 0.9995  6 Sr 2.67-2.68

=====

No. 2
This record from Alexandria via LeMat-Bulk describes an optimized crystal structure of Ti12Si6Ru. The functional is PBE-GGA.

SG: No. 148
DOS(E_F), states/eV per cell: 20.79
Crystal system: trigonal

abc: 7.1855 7.1855 7.1855
angles: 106.57 106.57 106.57
Last column: nearest neighbours and their distance in Å.
Fractional coordinates of all 19 atoms:
Ti 0.3183 0.4468 0.0255  5 Si 2.63-2.86, 4 Ti 2.67-2.85
Ti 0.4468 0.0255 0.3183  5 Si 2.63-2.86, 4 Ti 2.67-2.85
Ti 0.0549 0.9173 0.3300  1 Ru 2.56, 3 Si 2.56-2.85, 4 Ti 2.70-2.85
Ti 0.9745 0.6817 0.5532  5 Si 2.63-2.86, 4 Ti 2.67-2.85
Ti 0.0827 0.6700 0.9451  1 Ru 2.56, 3 Si 2.56-2.85, 4 Ti 2.70-2.85
Ti 0.3300 0.0549 0.9173  1 Ru 2.56, 3 Si 2.56-2.85, 4 Ti 2.70-2.85
Ti 0.6817 0.5532 0.9745  5 Si 2.63-2.86, 4 Ti 2.67-2.85
Ti 0.0255 0.3183 0.4468  5 Si 2.63-2.86, 4 Ti 2.67-2.85
Ti 0.5532 0.9745 0.6817  5 Si 2.63-2.86, 4 Ti 2.67-2.85
Ti 0.9173 0.3300 0.0549  1 Ru 2.56, 3 Si 2.56-2.85, 4 Ti 2.70-2.85
Ti 0.6700 0.9451 0.0827  1 Ru 2.56, 3 Si 2.56-2.85, 4 Ti 2.70-2.85
Ti 0.9451 0.0827 0.6700  1 Ru 2.56, 3 Si 2.56-2.85, 4 Ti 2.70-2.85
Si 0.3477 0.6519 0.7578  8 Ti 2.56-2.86, 2 Si 2.82
Si 0.7578 0.3477 0.6519  8 Ti 2.56-2.86, 2 Si 2.82
Si 0.2422 0.6523 0.3481  8 Ti 2.56-2.86, 2 Si 2.82
Si 0.6523 0.3481 0.2422  8 Ti 2.56-2.86, 2 Si 2.82
Si 0.3481 0.2422 0.6523  8 Ti 2.56-2.86, 2 Si 2.82
Si 0.6519 0.7578 0.3477  8 Ti 2.56-2.86, 2 Si 2.82
Ru 0.0000 0.0000 0.0000  6 Ti 2.56

=====

Calculated values (eV per atom) of energy relative to the elements, uncorrected for the records, taken in order: -0.207; -0.280.